*A*
6
Lattice="4.374 0.000 0.000 0.000 6.705 -0.024 0.000 -0.012 6.705" Properties=species:S:1:pos:R:3 comment="PuThSe4, optimized geometry, DFT PBE-GGA" total_magnetization_mub_per_cell=4.00 pbc="T T T"
Pu 2.187 0.000 0.000
Th 0.000 3.346 3.340
Se 2.187 2.011 4.678
Se 0.000 5.424 5.414
Se 4.374 1.268 1.266
Se 2.187 4.681 2.003

***

*B*
6
Lattice="4.881 0.028 -0.296 -0.046 4.881 -0.296 0.407 0.414 6.885" Properties=species:S:1:pos:R:3 comment="PuThSe4, optimized geometry, DFT PBE-GGA" total_magnetization_mub_per_cell=3.97 pbc="T T T"
Pu 2.621 2.661 3.146
Th 0.000 0.000 0.000
Se 4.962 2.576 1.312
Se 2.500 5.000 1.312
Se 0.281 2.747 4.981
Se 2.742 0.323 4.981

***

Stability ranking, top entry: *B*; the second entry is 0.102 eV/atom less favorable.

***

*A*
13
Lattice="4.355 0.000 0.000 0.000 9.663 -8.167 0.000 -2.650 11.655" Properties=species:S:1:pos:R:3 comment="Pu2Th3Se8, optimized geometry, DFT PBE-GGA" total_magnetization_mub_per_cell=11.49 pbc="T T T"
Pu 2.177 1.188 3.937
Pu 2.178 5.824 -0.450
Th 2.177 0.000 0.000
Th 0.000 0.079 8.854
Th 0.000 6.933 -5.366
Se 0.000 5.576 -2.415
Se 0.000 1.436 5.903
Se 0.000 0.420 1.976
Se 0.000 6.592 1.512
Se 2.177 4.170 4.124
Se 2.177 -0.991 7.408
Se 2.178 8.003 -3.920
Se 2.177 2.842 -0.636

***

*B*
13
Lattice="-0.337 -7.155 0.640 8.549 -0.362 0.456 -4.498 3.337 6.447" Properties=species:S:1:pos:R:3 comment="Pu2Th3Se8, optimized geometry, DFT PBE-GGA" total_magnetization_mub_per_cell=12.01 pbc="T T T"
Pu -0.231 -0.814 3.691
Pu 3.946 -3.366 3.853
Th -0.168 -3.578 0.320
Th 2.224 -0.094 0.119
Th 6.325 -0.267 0.338
Se 3.916 -5.989 2.353
Se -0.201 1.809 5.191
Se -0.363 -5.860 2.154
Se 4.078 1.680 5.390
Se 1.905 -1.893 5.532
Se -2.634 -1.701 5.290
Se 6.349 -2.479 2.254
Se 1.810 -2.287 2.012

***

Stability ranking, top entry: *A*; the second entry is 0.012 eV/atom less favorable.

***

*A*
13
Lattice="6.604 0.000 3.012 2.615 6.065 3.012 0.383 0.252 7.908" Properties=species:S:1:pos:R:3 comment="PuTi4Se8, optimized geometry, DFT PBE-GGA" total_magnetization_mub_per_cell=6.30 pbc="T T T"
Pu 4.801 3.158 6.966
Ti 1.308 3.032 1.506
Ti 4.610 3.032 3.012
Ti 3.302 0.000 1.506
Ti 0.000 0.000 0.000
Se 5.889 1.638 9.081
Se 5.766 1.557 4.851
Se 3.713 4.678 4.851
Se 7.112 4.678 6.401
Se 7.127 4.688 10.614
Se 2.476 1.628 3.318
Se 2.491 1.638 7.531
Se 3.837 4.759 9.081

***

*B*
13
Lattice="-2.725 1.978 -6.923 -7.582 0.805 -1.066 -3.011 7.001 -1.095" Properties=species:S:1:pos:R:3 comment="PuTi4Se8, optimized geometry, DFT PBE-GGA" total_magnetization_mub_per_cell=2.64 pbc="T T T"
Pu -9.989 7.338 -6.814
Ti -6.321 4.631 -7.145
Ti -9.038 3.975 -3.868
Ti -6.481 7.440 -3.885
Ti -4.797 3.524 -3.272
Se -3.031 2.215 -4.566
Se -5.427 1.637 -1.677
Se -3.173 4.692 -1.691
Se -1.687 1.240 -1.151
Se -6.914 5.089 -2.581
Se -4.866 5.584 -5.050
Se -6.793 2.972 -5.038
Se -8.063 5.924 -5.500

***

Stability ranking, top entry: *A*; the second entry is 0.168 eV/atom less favorable.

***

*A*
6
Lattice="3.914 0.000 -1.109 -0.608 5.366 -2.147 -0.084 -0.289 7.165" Properties=species:S:1:pos:R:3 comment="Pu2USe3, optimized geometry, DFT PBE-GGA" total_magnetization_mub_per_cell=8.65 pbc="T T T"
Pu 2.481 0.800 1.296
Pu 0.740 4.277 2.613
U -0.304 2.683 -1.074
Se 1.049 1.600 3.701
Se 0.000 0.000 0.000
Se 2.173 3.477 0.208

***

*B*
6
Lattice="-1.710 2.576 -2.561 -5.237 -1.474 2.014 3.048 5.872 3.870" Properties=species:S:1:pos:R:3 comment="Pu2USe3, optimized geometry, DFT PBE-GGA" total_magnetization_mub_per_cell=15.08 pbc="T T T"
Pu -0.551 4.918 2.167
Pu -3.347 2.055 1.155
U 0.000 0.000 0.000
Se -3.172 4.153 3.147
Se -0.727 2.821 0.175
Se -2.618 -0.737 1.007

***

Stability ranking, top entry: *A*; the second entry is 0.159 eV/atom less favorable.